# NpPaZn

A relaxed structure of NpPaZn (GGA-PBE, the Open Quantum Materials Database).

Energy relative to the elements: 0.66 eV per atom
Uncorrected energy: -21.56 eV for the cell shown
Spin magnetization: 6.0 μB/f.u.

Unit cell a=4.6655 b=4.6655 c=4.6655 alpha=60.00 beta=60.00 gamma=60.00
Element x y z (fractional)
Np1 0.0000 0.0000 0.0000
Pa1 0.2500 0.2500 0.2500
Zn1 0.5000 0.5000 0.5000



# NpPb

A relaxed structure of NpPb (GGA-PBE, the Open Quantum Materials Database).

Uncorrected energy: -15.95 eV for the cell shown
Spin magnetization: 4.2 μB/f.u.

Unit cell a=3.2994 b=3.2994 c=5.6842 alpha=90.00 beta=90.00 gamma=120.00
Element x y z (fractional)
Np1 0.0000 0.0000 0.0000
Pb1 0.6667 0.3333 0.5000



# NpPb

A relaxed structure of NpPb (GGA-PBE, the Open Quantum Materials Database).

Uncorrected energy: -15.28 eV for the cell shown
Spin magnetization: 4.0 μB/f.u.

Unit cell a=4.4838 b=4.4838 c=4.4838 alpha=60.00 beta=60.00 gamma=60.00
Element x y z (fractional)
Np1 0.0000 0.0000 0.0000
Pb1 0.5000 0.5000 0.5000



# NpPb

A relaxed structure of NpPb (GGA-PBE, the Open Quantum Materials Database).

Uncorrected energy: -13.77 eV for the cell shown
Spin magnetization: 4.0 μB/f.u.

Unit cell a=5.0488 b=5.0488 c=5.0488 alpha=60.00 beta=60.00 gamma=60.00
Element x y z (fractional)
Np1 0.0000 0.0000 0.0000
Pb1 0.7500 0.7500 0.7500



# PrNpPb

A relaxed structure of PrNpPb (GGA-PBE, the Open Quantum Materials Database).

Uncorrected energy: -20.28 eV for the cell shown
Spin magnetization: 6.0 μB/f.u.
Excess energy over the best structure of this formula in the dataset: 0.000 eV/atom

Unit cell a=5.3536 b=5.3536 c=5.3536 alpha=60.00 beta=60.00 gamma=60.00
Element x y z (fractional)
Pr1 0.0000 0.0000 0.0000
Np1 0.5000 0.5000 0.5000
Pb1 0.7500 0.7500 0.7500



# Np2Pb2Se5

A relaxed structure of Np2Pb2Se5 (GGA-PBE, the Open Quantum Materials Database).

Uncorrected energy: -58.04 eV for the cell shown
Spin magnetization: 8.0 μB/f.u.

Unit cell a=4.2535 b=4.2535 c=16.9787 alpha=90.03 beta=90.03 gamma=60.11
Element x y z (fractional)
Np1 0.0000 0.0000 0.1733
Np2 0.0000 0.0000 0.8267
Pb1 0.3333 0.3333 0.6110
Pb2 0.6667 0.6667 0.3890
Se1 0.0000 0.0000 0.5000
Se2 0.3333 0.3333 0.2732
Se3 0.3333 0.3333 0.9082
Se4 0.6667 0.6667 0.0918
Se5 0.6667 0.6667 0.7268



# NpSiPb

A relaxed structure of NpSiPb (GGA-PBE, the Open Quantum Materials Database).

Uncorrected energy: -20.89 eV for the cell shown
Spin magnetization: 4.6 μB/f.u.
Excess energy over the best structure of this formula in the dataset: 0.000 eV/atom

Unit cell a=4.7965 b=4.7965 c=4.7965 alpha=60.00 beta=60.00 gamma=60.00
Element x y z (fractional)
Np1 0.0000 0.0000 0.0000
Si1 0.2500 0.2500 0.2500
Pb1 0.5000 0.5000 0.5000



# SmNpPb

A relaxed structure of SmNpPb (GGA-PBE, the Open Quantum Materials Database).

Uncorrected energy: -20.20 eV for the cell shown
Spin magnetization: 6.0 μB/f.u.
Excess energy over the best structure of this formula in the dataset: 0.000 eV/atom

Unit cell a=5.2974 b=5.2974 c=5.2974 alpha=60.00 beta=60.00 gamma=60.00
Element x y z (fractional)
Sm1 0.0000 0.0000 0.0000
Np1 0.5000 0.5000 0.5000
Pb1 0.7500 0.7500 0.7500